VASP calculation (PBE-GGA) on a geometry-optimized Cd3C5 structure.

Geometry as extended XYZ:
```
8
Lattice="3.735 -6.754 0.000 3.735 6.754 0.000 0.000 0.000 2.640" Properties=species:S:1:pos:R:3 pbc="T T T"
Cd 0.000 0.000 0.000
Cd 3.735 3.591 1.320
Cd 3.735 -3.591 1.320
C 1.867 3.377 0.000
C 2.934 0.000 1.320
C 1.867 -3.377 0.000
C 3.735 0.000 0.000
C 4.535 0.000 1.320
```

Calculated values
E_tot in eV per atom: -3.899
Energy relative to the elements in eV/f.u.: 17.7
Fermi-level density of states in states/eV/atom: 0.46
Space-group type: Cmmm, No. 65